(1)
The following is a meta-GGA SCAN calculation of CoAg2TePd at its PBEsol-relaxed geometry, from the Alexandria database.

abc: 4.935 4.935 4.500
angles: 90.00 90.00 90.00
Element x y z (fractional)
Co  0.000  0.000  0.000
Ag  0.000  0.500  0.500
Ag  0.500  0.000  0.500
Te  0.500  0.500  0.000
Pd  0.000  0.000  0.500

Calculated values
- Magnetization: 2.45 Bohr magnetons per cell
- D(E_F): 0.550 states/eV/atom
- Formation energy without anion corrections: 3.9 eV/f.u.

(2)
The following is a meta-GGA SCAN calculation of OsRu3Br at its PBEsol-relaxed geometry, from the Alexandria database.

abc: 4.685 4.685 4.685
angles: 90.00 90.00 90.00
Element x y z (fractional)
Os  0.000  0.000  0.000
Ru  0.000  0.000  0.500
Ru  0.000  0.500  0.000
Ru  0.500  0.000  0.000
Br  0.500  0.500  0.500

Calculated values
- Magnetization: 3.90 Bohr magnetons per cell
- D(E_F): 0.823 states/eV/atom
- Formation energy without anion corrections: 8.8 eV/f.u.